[1]
Entry from Alexandria via LeMat-Bulk: a relaxed CeMg2In2Hg2 crystal (PBE-GGA).

Cell lengths 4.8528, 4.8528, 8.9118 Å; angles 74.20, 74.20, 60.00 degrees
Closest atoms and distances in Å follow each position.
Element x y z (fractional)
Ce: 0.0000 0.0000 0.0000  6 In 3.28, 2 Mg 3.51
Mg: 0.1381 0.1381 0.5857  3 Hg 2.98, 3 Mg 3.15, 4 In 3.24-3.33
Mg: 0.8619 0.8619 0.4143  3 Hg 2.98, 3 Mg 3.15, 4 In 3.24-3.33
In: 0.7342 0.7342 0.7975  3 Hg 2.91, 1 Mg 3.24
In: 0.2658 0.2658 0.2025  3 Hg 2.91, 1 Mg 3.24
Hg: 0.5687 0.5687 0.2939  3 In 2.91, 3 Mg 2.98
Hg: 0.4313 0.4313 0.7061  3 In 2.91, 3 Mg 2.98

calculated volume	24.65	Å³ per atom
DFT total energy	-2.361	eV/atom
calculated formation energy	-0.189	eV per atom
symmetry	R-3m
total magnetization	0.95	μB per formula unit

***

[2]
Entry from Alexandria via LeMat-Bulk: a relaxed Ce2InHgN crystal (PBE-GGA).

Cell lengths 4.2137, 4.2137, 13.3223 Å; angles 90.00, 90.00, 90.00 degrees
Closest atoms and distances in Å follow each position.
Element x y z (fractional)
Ce: 0.0000 0.5000 0.7460  1 N 2.26
Ce: 0.0000 0.5000 0.0823  1 N 2.22
Ce: 0.5000 0.0000 0.9177  1 N 2.22
Ce: 0.5000 0.0000 0.2540  1 N 2.26
In: 0.0000 0.0000 0.5000  4 In 2.98, 4 Hg 3.04
In: 0.5000 0.5000 0.5000  4 In 2.98, 4 Hg 3.04
Hg: 0.5000 0.0000 0.6641  4 In 3.04, 5 Ce 3.17-3.38
Hg: 0.0000 0.5000 0.3359  4 In 3.04, 5 Ce 3.17-3.38
N: 0.5000 0.0000 0.0842  2 Ce 2.22-2.26
N: 0.0000 0.5000 0.9158  2 Ce 2.22-2.26

calculated volume	23.65	Å³ per atom
DFT total energy	-5.215	eV/atom
symmetry	P4/nmm
total magnetization	2.58	μB per formula unit

***

[3]
Entry from Alexandria via LeMat-Bulk: a relaxed NaCeInHg crystal (PBE-GGA).

Cell lengths 5.3289, 5.3289, 5.3289 Å; angles 60.00, 60.00, 60.00 degrees
Closest atoms and distances in Å follow each position.
Element x y z (fractional)
Na: 0.0000 0.0000 0.0000  4 Hg 3.26, 4 In 3.26
Hg: 0.7500 0.7500 0.7500  4 Ce 3.26, 4 Na 3.26
Ce: 0.5000 0.5000 0.5000  4 In 3.26, 4 Hg 3.26
In: 0.2500 0.2500 0.2500  4 Na 3.26, 4 Ce 3.26

calculated volume	26.75	Å³ per atom
DFT total energy	-2.820	eV/atom
calculated formation energy	-0.247	eV per atom
symmetry	F-43m
total magnetization	0.88	μB per formula unit